! HfCoO2F | Alexandria via LeMat-Bulk | PBE with a Hubbard U | relaxed; values from VASP
&SYSTEM
  ibrav = 0, nat = 5, ntyp = 4
/
ATOMIC_SPECIES
Co 58.93 Co.upf
Hf 178.49 Hf.upf
O 16.00 O.upf
F 19.00 F.upf
ATOMIC_POSITIONS angstrom
Co 1.421 -2.858 1.547
Hf 0.000 0.000 0.000
O 0.038 -1.880 -0.804
O -0.585 -0.781 1.797
F 1.968 -0.197 0.554
CELL_PARAMETERS angstrom
-1.169 -1.561 3.594
0.076 -3.759 -1.608
3.936 -0.395 1.109
! Space-group type = P4/mmm
! Electronic total energy = -7.48 eV per atom
! Density = 6.97 Mg/m³

***

! Li3Mn2CoO6 | Alexandria via LeMat-Bulk | PBE with a Hubbard U | relaxed; values from VASP
&SYSTEM
  ibrav = 0, nat = 12, ntyp = 4
/
ATOMIC_SPECIES
Li 6.94 Li.upf
Mn 54.94 Mn.upf
Co 58.93 Co.upf
O 16.00 O.upf
ATOMIC_POSITIONS angstrom
Li 3.082 -7.419 -3.452
Li 1.032 -2.480 -1.154
Li 5.132 -12.358 -5.749
Mn 4.077 -9.904 -4.596
Mn 2.088 -4.934 -2.308
Co 0.000 0.000 0.000
O 1.146 -8.497 -3.195
O -0.953 -3.527 -0.872
O 6.214 -9.017 -4.980
O 5.019 -6.341 -3.708
O -0.050 -5.821 -1.923
O 7.117 -11.310 -6.031
CELL_PARAMETERS angstrom
4.180 -4.794 -4.498
5.004 -5.658 -1.905
-3.019 -4.385 -0.501
! Relative energy among the computed polymorphs = 0.020 eV/atom
! Space-group type = C2/m
! Electronic total energy = -6.28 eV per atom
! Density = 4.20 Mg/m³